No. 1
A relaxed MgPaOs crystal, computed with PBE.

VASP energy, hartree per atom: -0.27057
Magnetization, μB/f.u.: 0.6
E above lowest polymorph, meV/atom: 0

Cell lengths 4.597, 4.597, 4.597 Å; angles 60.00, 60.00, 60.00 degrees
Positions (direct):
Mg (0.000, 0.000, 0.000)
Pa (0.500, 0.500, 0.500)
Os (0.250, 0.250, 0.250)



No. 2
A relaxed MgSnOsPb crystal, computed with PBE.

VASP energy, hartree per atom: -0.17293
Magnetization, μB/f.u.: 0.0
E above lowest polymorph, meV/atom: 0

Cell lengths 4.839, 4.839, 4.839 Å; angles 60.00, 60.00, 60.00 degrees
Positions (direct):
Mg (0.000, 0.000, 0.000)
Sn (0.750, 0.750, 0.750)
Os (0.500, 0.500, 0.500)
Pb (0.250, 0.250, 0.250)



No. 3
A relaxed MgZrOsPb crystal, computed with PBE.

VASP energy, hartree per atom: -0.21863
Magnetization, μB/f.u.: 0.0
E above lowest polymorph, meV/atom: 269

Cell lengths 4.767, 4.767, 4.767 Å; angles 60.00, 60.00, 60.00 degrees
Positions (direct):
Mg (0.000, 0.000, 0.000)
Zr (0.750, 0.750, 0.750)
Os (0.250, 0.250, 0.250)
Pb (0.500, 0.500, 0.500)



No. 4
A relaxed MgZrOsPb crystal, computed with PBE.

VASP energy, hartree per atom: -0.22852
Magnetization, μB/f.u.: 0.0
E above lowest polymorph, meV/atom: 0

Cell lengths 4.744, 4.744, 4.744 Å; angles 60.00, 60.00, 60.00 degrees
Positions (direct):
Mg (0.000, 0.000, 0.000)
Zr (0.750, 0.750, 0.750)
Os (0.500, 0.500, 0.500)
Pb (0.250, 0.250, 0.250)



Question: Among the records above, which one has the highest magnetization?
Answer: MgPaOs



What did the first record say?
A relaxed MgPaOs crystal, computed with PBE.

VASP energy, hartree per atom: -0.27057
Magnetization, μB/f.u.: 0.6
E above lowest polymorph, meV/atom: 0

Cell lengths 4.597, 4.597, 4.597 Å; angles 60.00, 60.00, 60.00 degrees
Positions (direct):
Mg (0.000, 0.000, 0.000)
Pa (0.500, 0.500, 0.500)
Os (0.250, 0.250, 0.250)



Question: E above lowest polymorph of number 2 (MgSnOsPb)?
Answer: 0 meV/atom



Question: The lowest VASP energy belongs to which entry?
Answer: MgPaOs